The following is a DFT calculation (PBE) of crystalline Tb6Er2TmMg at its relaxed geometry.

abc: 8.5913 8.5913 9.5322
angles: 94.66 94.66 116.44
With the nearest neighbours (Å) after each atom.
Sites, in units of the cell vectors:
Tb 0.0083 0.5675 0.1882  5 Tb 3.27-3.66, 1 Mg 3.32, 2 Er 3.36-3.61, 1 Tm 3.51
Tb 0.1214 0.7550 0.5517  7 Tb 3.41-3.77, 1 Er 3.42, 1 Tm 3.51, 1 Mg 3.76
Tb 0.2450 0.8786 0.9483  7 Tb 3.41-3.77, 1 Er 3.42, 1 Tm 3.51, 1 Mg 3.76
Tb 0.2973 0.5006 0.3851  3 Er 3.14-3.36, 4 Tb 3.27-3.51, 2 Mg 3.33-3.46
Tb 0.4325 0.9917 0.3118  5 Tb 3.27-3.66, 1 Mg 3.32, 2 Er 3.36-3.61, 1 Tm 3.51
Tb 0.4994 0.7027 0.1149  3 Er 3.14-3.36, 4 Tb 3.27-3.51, 2 Mg 3.33-3.46
Tb 0.5006 0.2973 0.8851  3 Er 3.14-3.36, 4 Tb 3.27-3.51, 2 Mg 3.33-3.46
Tb 0.5675 0.0083 0.6882  5 Tb 3.27-3.66, 1 Mg 3.32, 2 Er 3.36-3.61, 1 Tm 3.51
Tb 0.7027 0.4994 0.6149  3 Er 3.14-3.36, 4 Tb 3.27-3.51, 2 Mg 3.33-3.46
Tb 0.7550 0.1214 0.0517  7 Tb 3.41-3.77, 1 Er 3.42, 1 Tm 3.51, 1 Mg 3.76
Tb 0.8786 0.2450 0.4483  7 Tb 3.41-3.77, 1 Er 3.42, 1 Tm 3.51, 1 Mg 3.76
Tb 0.9917 0.4325 0.8118  5 Tb 3.27-3.66, 1 Mg 3.32, 2 Er 3.36-3.61, 1 Tm 3.51
Er 0.1984 0.2972 0.0506  5 Tb 3.14-3.42, 2 Tm 3.31-3.38, 1 Mg 3.45
Er 0.2972 0.1984 0.5506  5 Tb 3.14-3.42, 2 Tm 3.31-3.38, 1 Mg 3.45
Er 0.7028 0.8016 0.4494  5 Tb 3.14-3.42, 2 Tm 3.31-3.38, 1 Mg 3.45
Er 0.8016 0.7028 0.9494  5 Tb 3.14-3.42, 2 Tm 3.31-3.38, 1 Mg 3.45
Tm 0.0191 0.9809 0.2500  4 Er 3.31-3.38, 4 Tb 3.51
Tm 0.9809 0.0191 0.7500  4 Er 3.31-3.38, 4 Tb 3.51
Mg 0.4055 0.5945 0.7500  6 Tb 3.32-3.46, 2 Er 3.45
Mg 0.5945 0.4055 0.2500  6 Tb 3.32-3.46, 2 Er 3.45

Output
Size of the total moment in μB/f.u.: 0.00
Uncorrected energy in eV per cell: -83.49